5
Lattice="4.112 0.000 0.000 0.000 4.112 0.000 -2.056 -2.056 5.283" Properties=species:S:1:pos:R:3 comment="PBE AcMnFeSi2, relaxed" e_form_raw_ev_per_fu=-2.33 pbc="T T T"
Ac 0.000 0.000 0.000
Mn 2.056 0.000 2.641
Fe 0.000 2.056 2.641
Si 2.056 2.056 1.538
Si 0.000 0.000 3.745

***

4
Lattice="7.694 0.132 0.018 5.727 5.140 -0.018 -6.332 -3.598 2.484" Properties=species:S:1:pos:R:3 comment="PBE ReWCl2, relaxed" e_form_raw_ev_per_fu=2.40 pbc="T T T"
Re 4.036 -0.415 1.251
W 3.052 2.089 1.233
Cl 1.442 0.566 0.000
Cl 5.269 2.070 0.000

***

14
Lattice="-2.122 -1.429 3.559 8.626 0.444 5.322 -6.128 8.075 -0.412" Properties=species:S:1:pos:R:3 comment="PBE BaAl3Ge3, relaxed" formation_enthalpy_0k_kj_per_mol_fu=-110 pbc="T T T"
Ba 3.177 2.631 4.301
Ba -2.802 4.460 4.168
Al 2.828 4.193 7.418
Al 3.739 -0.283 6.165
Al 0.594 5.251 3.812
Al -0.218 1.840 4.657
Al -3.363 7.374 2.304
Al -2.452 2.898 1.051
Ge 0.626 4.044 6.046
Ge 4.348 1.915 7.410
Ge -0.999 7.300 3.685
Ge 1.375 -0.210 4.784
Ge -3.972 5.176 1.059
Ge -0.251 3.047 2.423

***

8
Lattice="-2.001 -6.323 -2.291 5.360 -2.509 2.923 -4.158 -4.022 3.982" Properties=species:S:1:pos:R:3 comment="PBE La6CePr, relaxed" formation_enthalpy_0k_kj_per_mol_fu=113 pbc="T T T"
La 1.971 -4.327 3.760
La 0.634 -7.576 3.154
La -1.433 -5.278 1.460
La -2.770 -8.526 0.854
La 2.807 -5.312 0.883
La -3.607 -7.542 3.731
Ce 2.680 -1.254 1.462
Pr 0.000 0.000 0.000

***

5
Lattice="4.646 0.000 0.000 0.000 3.985 0.000 0.000 0.000 4.646" Properties=species:S:1:pos:R:3 comment="PBE Tc2RhSeF, relaxed" e_form_raw_ev_per_fu=4.38 pbc="T T T"
Rh 2.323 1.993 2.323
Tc 0.000 0.000 2.323
Tc 2.323 0.000 0.000
Se 0.000 0.000 0.000
F 0.000 1.993 0.000

***

5
Lattice="4.363 -4.229 0.504 0.081 -4.594 4.008 -3.569 2.805 -4.070" Properties=species:S:1:pos:R:3 comment="PBE Fe2Mo2Br, relaxed" e_form_raw_ev_per_fu=4.08 pbc="T T T"
Fe 2.732 -5.423 2.773
Fe 1.713 -3.400 1.739
Mo -0.633 -3.100 1.097
Mo 1.508 -2.918 -0.655
Br 0.000 0.000 0.000

***

6
Lattice="4.952 3.894 0.239 -4.988 -2.107 3.228 3.067 -4.030 2.109" Properties=species:S:1:pos:R:3 comment="PBE As2Se, relaxed" e_form_raw_ev_per_fu=0.20 pbc="T T T"
As 5.654 -0.093 2.302
As 2.149 -2.210 3.356
As 0.882 -0.033 2.221
As -2.623 -2.149 3.275
Se -1.085 -4.161 4.328
Se 4.116 1.919 1.249

***

12
Lattice="-2.565 2.413 3.243 -2.013 -4.153 1.275 5.053 -1.001 4.740" Properties=species:S:1:pos:R:3 comment="PBE Pu2CuAgO8, relaxed" e_form_raw_ev_per_fu=-20.91 pbc="T T T"
Pu 1.523 -1.625 5.834
Pu -1.047 -1.117 3.423
Cu 0.000 0.000 0.000
Ag 2.526 -0.501 2.370
O -0.945 -2.906 2.838
O 1.842 -2.222 7.908
O -1.247 0.692 3.917
O 1.420 0.165 6.420
O -1.367 -0.520 1.349
O 1.722 -3.433 5.341
O -0.607 -1.692 5.462
O 1.082 -1.049 3.795

***

4
Lattice="4.805 -0.002 0.000 1.997 4.370 0.000 -3.401 -2.184 2.598" Properties=species:S:1:pos:R:3 comment="PBE LiReRh2, relaxed" formation_enthalpy_0k_kj_per_mol_fu=21 pbc="T T T"
Li 3.401 2.184 0.000
Re 2.402 -0.001 1.299
Rh 0.000 0.000 0.000
Rh 0.998 2.185 1.299

***

12
Lattice="5.970 0.000 0.001 -2.984 5.171 0.001 -0.995 -1.723 5.624" Properties=species:S:1:pos:R:3 comment="PBE Dy2Ho3UN6, relaxed" e_form_raw_ev_per_fu=-20.33 pbc="T T T"
Dy 0.004 3.446 0.001
Dy 2.983 1.725 0.001
Ho -1.979 3.442 2.813
Ho 3.971 0.006 2.813
Ho 0.996 1.724 2.813
U 0.000 0.000 0.000
N 2.933 1.815 4.258
N 2.047 3.544 1.350
N -0.941 1.633 1.367
N 0.106 3.447 4.258
N -0.055 -0.096 4.275
N 1.885 0.001 1.367

***

12
Lattice="-3.669 1.515 2.710 2.762 -3.632 1.510 4.742 5.093 3.573" Properties=species:S:1:pos:R:3 comment="PBE TiMnCr, relaxed" formation_enthalpy_0k_kj_per_mol_fu=-57 pbc="T T T"
Ti 1.517 -0.950 2.588
Ti -0.039 1.396 3.430
Ti 1.730 3.296 4.763
Ti 4.460 2.211 4.806
Mn -2.576 0.640 2.506
Mn 2.690 1.554 2.777
Mn 2.253 0.535 4.810
Mn 4.022 -0.196 3.504
Cr -2.444 2.817 3.626
Cr -0.138 5.294 5.364
Cr -1.228 -1.136 3.248
Cr -0.783 -0.097 1.178

***

3
Lattice="4.256 0.000 0.000 2.128 3.686 0.000 2.128 1.229 3.475" Properties=species:S:1:pos:R:3 comment="PBE CrTcHg, relaxed" formation_enthalpy_0k_kj_per_mol_fu=241 pbc="T T T"
Cr 6.384 3.686 2.606
Hg 0.000 0.000 0.000
Tc 4.256 2.457 1.738

***

16
Lattice="-3.897 -2.551 -5.358 0.706 -0.117 7.063 -2.170 6.127 -0.397" Properties=species:S:1:pos:R:3 comment="PBE Fe3Co5, relaxed" formation_enthalpy_0k_kj_per_mol_fu=97 pbc="T T T"
Co -1.645 4.932 4.645
Co -1.374 1.149 -0.772
Co -1.548 2.412 3.751
Co -2.497 4.482 2.346
Co -3.053 2.998 -1.017
Co -2.304 0.168 1.878
Co -2.898 -0.826 -0.787
Co -3.899 1.154 -2.433
Co -3.666 2.185 2.490
Co -3.923 -1.369 -3.557
Fe -1.737 2.713 1.001
Fe -2.737 5.164 0.002
Fe -1.092 0.098 4.037
Fe -4.496 3.650 -2.700
Fe -4.332 3.830 0.854
Fe -3.893 1.083 0.341

***

8
Lattice="-0.788 3.672 1.948 -2.362 -2.027 2.866 6.516 -0.487 8.149" Properties=species:S:1:pos:R:3 comment="PBE LaTa2Ga, relaxed" formation_enthalpy_0k_kj_per_mol_fu=201 pbc="T T T"
La 0.000 0.000 0.000
La 2.077 2.004 6.252
Ga -1.575 0.822 2.407
Ga 1.290 -0.846 6.711
Ta 1.216 0.173 2.687
Ta -0.320 0.817 4.998
Ta 2.583 -0.713 9.280
Ta 3.254 2.038 8.961

***

12
Lattice="9.379 0.197 0.000 -1.115 6.959 0.000 -4.132 -3.578 8.209" Properties=species:S:1:pos:R:3 comment="PBE CsTmBr4, relaxed" e_form_raw_ev_per_fu=-11.16 pbc="T T T"
Cs 1.787 3.529 1.344
Cs 2.345 0.049 6.864
Tm -2.902 3.430 5.311
Tm 7.034 0.148 2.897
Br 8.357 1.545 1.029
Br 4.596 5.709 1.029
Br -0.948 1.464 4.930
Br 5.080 2.113 3.278
Br -1.506 4.944 3.278
Br -0.464 -2.131 7.180
Br 5.638 -1.366 4.930
Br -4.225 2.032 7.180

***

10
Lattice="4.756 0.000 0.000 0.000 4.756 0.000 0.000 0.000 11.962" Properties=species:S:1:pos:R:3 comment="PBE Ac2AlCd4In3, relaxed" formation_enthalpy_0k_kj_per_mol_fu=-297 pbc="T T T"
Ac 2.378 0.000 3.061
Ac 0.000 2.378 8.900
Al 2.378 2.378 5.981
Cd 2.378 2.378 0.000
Cd 0.000 0.000 0.000
Cd 2.378 0.000 7.536
Cd 0.000 2.378 4.426
In 0.000 0.000 5.981
In 2.378 0.000 10.294
In 0.000 2.378 1.668

***

Number 1: density 7.3 Mg/m³. Number 2: density 7.6 Mg/m³. Number 3: density 3.7 Mg/m³. Number 4: density 6.6 Mg/m³. Number 5: density 7.7 Mg/m³. Number 6: density 7.6 Mg/m³. Number 7: density 5.9 Mg/m³. Number 8: density 8.2 Mg/m³. Number 9: density 12.1 Mg/m³. Number 10: density 10.9 Mg/m³. Number 11: density 6.6 Mg/m³. Number 12: density 10.7 Mg/m³. Number 13: density 8.3 Mg/m³. Number 14: density 10.6 Mg/m³. Number 15: density 3.8 Mg/m³. Number 16: density 7.8 Mg/m³.